Record 1
# BaSc2Al (PBE, optimized geometry)
# Crystal system   monoclinic
# Formation energy   152 meV per atom
data_BaSc2Al
_cell_length_a 3.515
_cell_length_b 4.907
_cell_length_c 6.862
_cell_angle_alpha 90.00
_cell_angle_beta 103.50
_cell_angle_gamma 90.00
_space_group_name_H-M_alt 'P 1 2/m 1'
_space_group_IT_number 10
_space_group_name_Hall '-P 2y'
loop_
_atom_site_label
_atom_site_fract_x
_atom_site_fract_y
_atom_site_fract_z
Ba1 0.000 0.000 0.000
Sc1 0.315 0.500 0.691
Al1 0.500 0.000 0.500


Record 2
# KRb2GaAu (PBE, optimized geometry)
# Crystal system   tetragonal
# Formation energy   -69 meV per atom
data_KRb2GaAu
_cell_length_a 6.986
_cell_length_b 6.986
_cell_length_c 4.970
_cell_angle_alpha 90.00
_cell_angle_beta 90.00
_cell_angle_gamma 90.00
_space_group_name_H-M_alt 'P 4/m m m'
_space_group_IT_number 123
_space_group_name_Hall '-P 4 2'
loop_
_atom_site_label
_atom_site_fract_x
_atom_site_fract_y
_atom_site_fract_z
K1 0.000 0.000 0.000
Rb1 0.000 0.500 0.500
Ga1 0.500 0.500 0.000
Au1 0.500 0.500 0.500


Record 3
# Rb2LaSnCl6 (PBE, optimized geometry)
# Crystal system   tetragonal
# DFT total energy   -0.1423 Ha/atom
data_Rb2LaSnCl6
_cell_length_a 8.363
_cell_length_b 8.363
_cell_length_c 11.203
_cell_angle_alpha 90.00
_cell_angle_beta 90.00
_cell_angle_gamma 90.00
_space_group_name_H-M_alt 'I 4/m m m'
_space_group_IT_number 139
_space_group_name_Hall '-I 4 2'
loop_
_atom_site_label
_atom_site_fract_x
_atom_site_fract_y
_atom_site_fract_z
Rb1 0.000 0.500 0.250
La1 0.000 0.000 0.000
Sn1 0.000 0.000 0.500
Cl1 0.000 0.000 0.249
Cl2 0.235 0.235 0.000


Record 4
# YZrCO (PBE, optimized geometry)
# Crystal system   trigonal
# DFT total energy   -0.3321 Ha/atom
data_YZrCO
_cell_length_a 3.3884
_cell_length_b 3.3884
_cell_length_c 16.8968
_cell_angle_alpha 90.00
_cell_angle_beta 90.00
_cell_angle_gamma 120.00
_space_group_name_H-M_alt 'R 3 m'
_space_group_IT_number 160
_space_group_name_Hall 'R 3 -2"'
loop_
_atom_site_label
_atom_site_fract_x
_atom_site_fract_y
_atom_site_fract_z
Y1 0.0000 0.0000 0.0000
Zr1 0.0000 0.0000 0.5085
C1 0.0000 0.0000 0.2464
O1 0.0000 0.0000 0.7576


Record 5
# Ca4MnRh (PBE, optimized geometry)
# Crystal system   cubic
# Formation energy   844 meV per atom
data_Ca4MnRh
_cell_length_a 8.825
_cell_length_b 8.825
_cell_length_c 8.825
_cell_angle_alpha 90.00
_cell_angle_beta 90.00
_cell_angle_gamma 90.00
_space_group_name_H-M_alt 'F -4 3 m'
_space_group_IT_number 216
_space_group_name_Hall 'F -4 2 3'
loop_
_atom_site_label
_atom_site_fract_x
_atom_site_fract_y
_atom_site_fract_z
Ca1 0.124 0.124 0.376
Mn1 0.000 0.000 0.000
Rh1 0.250 0.250 0.750


Record 6
# CaReOs4 (PBE, optimized geometry)
# Crystal system   cubic
# Formation energy   551 meV per atom
data_CaReOs4
_cell_length_a 7.352
_cell_length_b 7.352
_cell_length_c 7.352
_cell_angle_alpha 90.00
_cell_angle_beta 90.00
_cell_angle_gamma 90.00
_space_group_name_H-M_alt 'F -4 3 m'
_space_group_IT_number 216
_space_group_name_Hall 'F -4 2 3'
loop_
_atom_site_label
_atom_site_fract_x
_atom_site_fract_y
_atom_site_fract_z
Ca1 0.000 0.000 0.000
Re1 0.250 0.250 0.250
Os1 0.125 0.125 0.625


Record 7
# ErSc4Tl2 (PBE, optimized geometry)
# Crystal system   tetragonal
# Formation energy   142 meV per atom
data_ErSc4Tl2
_cell_length_a 4.042
_cell_length_b 4.042
_cell_length_c 22.429
_cell_angle_alpha 90.00
_cell_angle_beta 90.00
_cell_angle_gamma 90.00
_space_group_name_H-M_alt 'I 4/m m m'
_space_group_IT_number 139
_space_group_name_Hall '-I 4 2'
loop_
_atom_site_label
_atom_site_fract_x
_atom_site_fract_y
_atom_site_fract_z
Er1 0.000 0.000 0.000
Sc1 0.000 0.000 0.138
Sc2 0.000 0.500 0.250
Tl1 0.000 0.000 0.417


Record 8
# ScV2Br (PBE, optimized geometry)
# Crystal system   tetragonal
# DFT total energy   -0.2199 Ha/atom
data_ScV2Br
_cell_length_a 7.645
_cell_length_b 7.645
_cell_length_c 5.051
_cell_angle_alpha 90.00
_cell_angle_beta 90.00
_cell_angle_gamma 90.00
_space_group_name_H-M_alt 'I -4 2 d'
_space_group_IT_number 122
_space_group_name_Hall 'I -4 2bw'
loop_
_atom_site_label
_atom_site_fract_x
_atom_site_fract_y
_atom_site_fract_z
Sc1 0.000 0.000 0.000
V1 0.183 0.250 0.625
Br1 0.000 0.000 0.500


Record 9
# CdRe4Se8 (PBE, optimized geometry)
# Crystal system   trigonal
# DFT total energy   -0.2218 Ha/atom
data_CdRe4Se8
_cell_length_a 6.4521
_cell_length_b 6.4521
_cell_length_c 24.8111
_cell_angle_alpha 90.00
_cell_angle_beta 90.00
_cell_angle_gamma 120.00
_space_group_name_H-M_alt 'R -3 m'
_space_group_IT_number 166
_space_group_name_Hall '-R 3 2"'
loop_
_atom_site_label
_atom_site_fract_x
_atom_site_fract_y
_atom_site_fract_z
Cd1 0.0000 0.0000 0.0000
Re1 0.0000 0.0000 0.5000
Re2 0.0000 0.5000 0.5000
Se1 0.0000 0.0000 0.2381
Se2 0.0015 0.5008 0.2374


Record 10
# Na2Si7Ir12 (PBE, optimized geometry)
# Crystal system   hexagonal
# DFT total energy   -0.2769 Ha/atom
data_Na2Si7Ir12
_cell_length_a 9.6297
_cell_length_b 9.6297
_cell_length_c 3.9404
_cell_angle_alpha 90.00
_cell_angle_beta 90.00
_cell_angle_gamma 120.00
_space_group_name_H-M_alt 'P -6'
_space_group_IT_number 174
_space_group_name_Hall 'P -6'
loop_
_atom_site_label
_atom_site_fract_x
_atom_site_fract_y
_atom_site_fract_z
Na1 0.0000 0.0000 0.0000
Na2 0.3333 0.6667 0.5000
Si1 0.0903 0.4562 0.0000
Si2 0.2620 0.2132 0.5000
Si3 0.6667 0.3333 0.0000
Ir1 0.0599 0.2874 0.5000
Ir2 0.0930 0.7009 0.0000
Ir3 0.3914 0.1686 0.0000
Ir4 0.5429 0.4207 0.5000


Record 11
# CaTi2TeH (PBE, optimized geometry)
# Crystal system   tetragonal
# DFT total energy   -0.1855 Ha/atom
data_CaTi2TeH
_cell_length_a 4.206
_cell_length_b 4.206
_cell_length_c 4.833
_cell_angle_alpha 90.00
_cell_angle_beta 90.00
_cell_angle_gamma 90.00
_space_group_name_H-M_alt 'P 4/m m m'
_space_group_IT_number 123
_space_group_name_Hall '-P 4 2'
loop_
_atom_site_label
_atom_site_fract_x
_atom_site_fract_y
_atom_site_fract_z
Ca1 0.000 0.000 0.000
Ti1 0.000 0.500 0.500
Te1 0.500 0.500 0.000
H1 0.000 0.000 0.500


Record 12
# NaCdInPb (PBE, optimized geometry)
# Crystal system   cubic
# Formation energy   -57 meV per atom
data_NaCdInPb
_cell_length_a 7.508
_cell_length_b 7.508
_cell_length_c 7.508
_cell_angle_alpha 90.00
_cell_angle_beta 90.00
_cell_angle_gamma 90.00
_space_group_name_H-M_alt 'F -4 3 m'
_space_group_IT_number 216
_space_group_name_Hall 'F -4 2 3'
loop_
_atom_site_label
_atom_site_fract_x
_atom_site_fract_y
_atom_site_fract_z
Na1 0.000 0.000 0.000
Cd1 0.000 0.000 0.500
In1 0.250 0.250 0.250
Pb1 0.250 0.250 0.750


no.,M_tot (μB/cell)
1,0.06
2,0.00
3,2.00
4,0.00
5,18.02
6,0.00
7,0.26
8,0.00
9,0.00
10,0.00
11,0.00
12,0.00